The following is a DFT calculation (GGA-PBE) of an optimized crystal structure of Sr2CoPt.

Properties
The calculation puts the total magnetization at 0.269 μB per atom. The formation enthalpy at 0 K is 0.23 eV/atom.

a = 5.056 Å, b = 5.056 Å, c = 5.056 Å
α = 60.00°, β = 60.00°, γ = 60.00°
Last column: magnetic moment on the atom in μB.
Fractional coordinates of all 4 atoms:
Co: 0.500 0.500 0.500  1.47
Pt: 0.750 0.750 0.750  0.07
Sr: 0.000 0.000 0.000  -0.06
Sr: 0.250 0.250 0.250  -0.07